No. 1
The following is a DFT calculation (PBE) of a geometry-optimized LiHg2Pd4 structure.

Values from the calculation:
The energy relative to the elements is -0.008 eV/atom. The calculated volume comes out at 130 Å³ per cell. As for the electronic total energy: -3.3350 eV per atom.

abc: 6.6831 6.6831 6.6831
angles: 138.35 138.35 60.37
Positions (direct):
Li 0.0000 0.0000 0.0000
Hg 0.3673 0.3673 0.0000
Hg 0.6327 0.6327 0.0000
Pd 0.0000 0.5000 0.5000
Pd 0.2500 0.7500 0.5000
Pd 0.5000 0.0000 0.5000
Pd 0.7500 0.2500 0.5000



No. 2
The following is a DFT calculation (PBE) of a geometry-optimized Li6Hg3Pd structure.

Values from the calculation:
The energy relative to the elements is -0.225 eV/atom. The calculated volume comes out at 185 Å³ per cell. As for the electronic total energy: -1.9831 eV per atom.

abc: 6.7699 6.7699 6.7699
angles: 114.26 114.26 114.26
Positions (direct):
Li 0.0895 0.4553 0.4553
Li 0.4553 0.0895 0.4553
Li 0.4553 0.4553 0.0895
Li 0.6515 0.6515 0.8824
Li 0.6515 0.8824 0.6515
Li 0.8824 0.6515 0.6515
Hg 0.0243 0.0243 0.4830
Hg 0.0243 0.4830 0.0243
Hg 0.4830 0.0243 0.0243
Pd 0.2312 0.2312 0.2312



No. 3
The following is a DFT calculation (PBE) of a geometry-optimized Li3Hg6Pd structure.

Values from the calculation:
The energy relative to the elements is -0.240 eV/atom. The calculated volume comes out at 402 Å³ per cell. As for the electronic total energy: -1.5149 eV per atom.

abc: 7.9064 7.9064 7.9064
angles: 107.87 107.87 107.87
Positions (direct):
Li 0.1059 0.2498 0.3929
Li 0.2498 0.3929 0.1059
Li 0.3929 0.1059 0.2498
Li 0.6071 0.8941 0.7502
Li 0.7502 0.6071 0.8941
Li 0.8941 0.7502 0.6071
Hg 0.0259 0.8671 0.3132
Hg 0.1329 0.6868 0.9741
Hg 0.1882 0.6343 0.4800
Hg 0.3132 0.0259 0.8671
Hg 0.3657 0.5200 0.8118
Hg 0.4800 0.1882 0.6343
Hg 0.5200 0.8118 0.3657
Hg 0.6343 0.4800 0.1882
Hg 0.6868 0.9741 0.1329
Hg 0.8118 0.3657 0.5200
Hg 0.8671 0.3132 0.0259
Hg 0.9741 0.1329 0.6868
Pd 0.0000 0.0000 0.0000
Pd 0.5000 0.5000 0.5000



No. 4
The following is a DFT calculation (PBE) of a geometry-optimized Li6Hg12Pd structure.

Values from the calculation:
The energy relative to the elements is -0.245 eV/atom. The calculated volume comes out at 396 Å³ per cell. As for the electronic total energy: -1.3136 eV per atom.

abc: 7.3462 7.3462 7.3462
angles: 91.27 91.27 91.27
Positions (direct):
Li 0.2196 0.3905 0.7598
Li 0.2402 0.7804 0.6095
Li 0.3905 0.7598 0.2196
Li 0.6095 0.2402 0.7804
Li 0.7598 0.2196 0.3905
Li 0.7804 0.6095 0.2402
Hg 0.0515 0.9338 0.2998
Hg 0.0662 0.7002 0.9485
Hg 0.1401 0.4930 0.3541
Hg 0.2998 0.0515 0.9338
Hg 0.3541 0.1401 0.4930
Hg 0.4930 0.3541 0.1401
Hg 0.5070 0.6459 0.8599
Hg 0.6459 0.8599 0.5070
Hg 0.7002 0.9485 0.0662
Hg 0.8599 0.5070 0.6459
Hg 0.9338 0.2998 0.0515
Hg 0.9485 0.0662 0.7002
Pd 0.5000 0.5000 0.5000



No. 5
The following is a DFT calculation (PBE) of a geometry-optimized Li6Hg2Pd structure.

Values from the calculation:
The energy relative to the elements is -0.309 eV/atom. The calculated volume comes out at 156 Å³ per cell. As for the electronic total energy: -2.2288 eV per atom.

abc: 7.7861 7.7861 2.9802
angles: 90.00 90.00 120.00
Positions (direct):
Li 0.0000 0.2767 0.0000
Li 0.0000 0.6404 0.5000
Li 0.2767 0.0000 0.0000
Li 0.3596 0.3596 0.5000
Li 0.6404 0.0000 0.5000
Li 0.7233 0.7233 0.0000
Hg 0.3333 0.6667 0.0000
Hg 0.6667 0.3333 0.0000
Pd 0.0000 0.0000 0.5000



No. 6
The following is a DFT calculation (PBE) of a geometry-optimized Li6HgPd6 structure.

Values from the calculation:
The energy relative to the elements is -0.293 eV/atom. The calculated volume comes out at 184 Å³ per cell. As for the electronic total energy: -3.5960 eV per atom.

abc: 4.9675 4.9675 8.6318
angles: 90.00 90.00 120.00
Positions (direct):
Li 0.0000 0.5000 0.2493
Li 0.0000 0.5000 0.7507
Li 0.5000 0.0000 0.2493
Li 0.5000 0.0000 0.7507
Li 0.5000 0.5000 0.2493
Li 0.5000 0.5000 0.7507
Hg 0.0000 0.0000 0.0000
Pd 0.0000 0.0000 0.3499
Pd 0.0000 0.0000 0.6501
Pd 0.3333 0.6667 0.0000
Pd 0.3333 0.6667 0.5000
Pd 0.6667 0.3333 0.0000
Pd 0.6667 0.3333 0.5000



No. 7
The following is a DFT calculation (PBE) of a geometry-optimized LiHg4Pd7 structure.

Values from the calculation:
The energy relative to the elements is -0.071 eV/atom. The calculated volume comes out at 220 Å³ per cell. As for the electronic total energy: -3.3607 eV per atom.

abc: 5.6429 5.6429 10.2228
angles: 116.05 116.05 50.70
Positions (direct):
Li 0.0000 0.0000 0.0000
Hg 0.2710 0.2710 0.6925
Hg 0.4069 0.4069 0.2259
Hg 0.5931 0.5931 0.7741
Hg 0.7290 0.7290 0.3075
Pd 0.0358 0.0358 0.3787
Pd 0.1991 0.1991 0.9225
Pd 0.3460 0.3460 0.4651
Pd 0.5000 0.5000 0.0000
Pd 0.6540 0.6540 0.5349
Pd 0.8009 0.8009 0.0775
Pd 0.9642 0.9642 0.6213



No. 8
The following is a DFT calculation (PBE) of a geometry-optimized Li2Hg3Pd3 structure.

Values from the calculation:
The energy relative to the elements is -0.276 eV/atom. The calculated volume comes out at 279 Å³ per cell. As for the electronic total energy: -2.8154 eV per atom.

abc: 5.2829 5.2829 13.6005
angles: 90.00 90.00 132.62
Positions (direct):
Li 0.2270 0.7730 0.6397
Li 0.2270 0.7730 0.8603
Li 0.7730 0.2270 0.1397
Li 0.7730 0.2270 0.3603
Hg 0.3666 0.6334 0.0514
Hg 0.3666 0.6334 0.4486
Hg 0.4635 0.5365 0.7500
Hg 0.5365 0.4635 0.2500
Hg 0.6334 0.3666 0.5514
Hg 0.6334 0.3666 0.9486
Pd 0.0738 0.9262 0.0907
Pd 0.0738 0.9262 0.4093
Pd 0.2484 0.7516 0.2500
Pd 0.7516 0.2484 0.7500
Pd 0.9262 0.0738 0.5907
Pd 0.9262 0.0738 0.9093